[1]
This record from Alexandria describes a relaxed ReHgIO2 crystal. The functional is PBE.

a b c (Å): 3.960 3.960 6.194
angles (deg): 90.00 90.00 90.00
Space group P4/mmm (No. 123)
Unique sites:
Re 0.000 0.000 0.000 (multiplicity 1)
Hg 0.500 0.500 0.500 (multiplicity 1)
I 0.000 0.000 0.500 (multiplicity 1)
O 0.000 0.500 0.000 (multiplicity 2)

***

[2]
This record from Alexandria describes a relaxed ReHgI2O crystal. The functional is PBE.

a b c (Å): 6.018 6.018 4.068
angles (deg): 90.00 90.00 90.00
Space group P4/mmm (No. 123)
Unique sites:
Re 0.000 0.000 0.000 (multiplicity 1)
Hg 0.500 0.500 0.500 (multiplicity 1)
I 0.000 0.500 0.500 (multiplicity 2)
O 0.500 0.500 0.000 (multiplicity 1)

***

no.,magnetic moment (μB/cell),VASP energy (eV/f.u.)
1,0.44,-26.13
2,5.22,-14.34